Density functional theory data (meta-GGA SCAN) for a crystal of TlSi4 relaxed with PBEsol.

The structure in POSCAR format:
```
TlSi4
1.0
-4.634 0.890 -2.450
2.731 -3.702 -2.665
-0.912 -1.696 4.956
Si Tl
4 1
Cartesian
-1.407 -2.254 -0.080
-0.456 -0.848 2.478
-2.317 0.445 -1.225
1.366 -1.851 -1.333
0.000 0.000 0.000
```

Uncorrected formation energy in eV per atom: 1.45
SG: Im-3m
Calculated total energy in eV/atom: -21.036